Entry 1:
DFT (PBE) results for a geometry-optimized Er12InRh6 structure.

Geometry as POSCAR:
```
Er12InRh6
1.0
7.993 0.000 -2.826
-3.996 6.922 -2.826
0.000 0.000 8.478
Er In Rh
12 1 6
Cartesian
3.558 3.541 3.446
6.360 1.311 2.891
3.678 4.852 0.065
0.849 5.611 2.206
1.952 0.759 5.717
-1.287 4.852 5.032
3.147 1.311 0.620
-2.363 5.611 -0.065
0.319 2.070 2.761
2.044 6.163 -2.891
5.284 2.070 -2.206
0.438 3.381 -0.620
0.000 0.000 0.000
5.474 2.559 0.737
-1.477 4.363 2.089
3.476 0.902 3.563
0.956 3.461 4.915
3.040 3.461 -2.089
0.521 6.020 -0.737
```

Values from the calculation:
The spin magnetization is 0.000 Bohr magnetons per cell. Its density of states at the Fermi level is 17.5 states/eV per cell. The calculation puts the uncorrected energy at -0.4390 Ry per atom. As for the energy of formation from the pure elements: -626 meV/atom.

=====

Entry 2:
DFT (PBE) results for a geometry-optimized Er8InRh2 structure.

Geometry as POSCAR:
```
Er8InRh2
1.0
5.383 -0.063 -0.094
-0.977 7.823 -0.155
-0.977 -3.156 7.160
Er Rh In
8 2 1
Cartesian
3.415 2.261 6.450
0.013 -0.477 2.341
0.445 2.837 4.259
1.714 5.084 1.603
0.013 2.344 0.462
1.714 -0.479 5.309
3.415 5.081 4.570
2.984 1.768 2.653
-0.977 4.455 2.090
-0.977 0.213 4.916
2.692 -0.031 -0.047
```

Values from the calculation:
The spin magnetization is 0.002 Bohr magnetons per cell. Its density of states at the Fermi level is 12.1 states/eV per cell. The calculation puts the uncorrected energy at -0.3899 Ry per atom. As for the energy of formation from the pure elements: -401 meV/atom.

=====

Entry 3:
DFT (PBE) results for a geometry-optimized Er2InRh structure.

Geometry as POSCAR:
```
Er2InRh
1.0
-2.408 -1.214 2.234
-2.069 -0.851 -2.693
3.143 -6.754 -0.281
In Er Rh
1 2 1
Cartesian
-0.667 -4.409 -0.370
0.682 -1.466 -0.061
2.461 -5.288 -0.220
-2.239 -1.032 -0.230
```

Values from the calculation:
The spin magnetization is 0.000 Bohr magnetons per cell. Its density of states at the Fermi level is 1.2 states/eV per cell. The calculation puts the uncorrected energy at -0.4051 Ry per atom. As for the energy of formation from the pure elements: -708 meV/atom.

=====

Entry 4:
DFT (PBE) results for a geometry-optimized ErIn2Rh structure.

Geometry as POSCAR:
```
ErIn2Rh
1.0
3.366 0.000 0.000
0.000 3.366 0.000
0.000 0.000 7.457
In Rh Er
2 1 1
Cartesian
0.000 0.000 5.926
0.000 0.000 1.531
1.683 1.683 0.000
1.683 1.683 3.728
```

Values from the calculation:
The spin magnetization is 0.342 Bohr magnetons per cell. Its density of states at the Fermi level is 3.4 states/eV per cell. The calculation puts the uncorrected energy at -0.3490 Ry per atom. As for the energy of formation from the pure elements: -401 meV/atom.

=====

Density values (in Mg/m³) by entry order: 9.698; 9.259; 10.034; 9.824.